Entry 1:
A geometry-optimized Co2NiP structure, computed with PBE.

Cell and atoms, written as CIF:
```
data_Co2NiP
_chemical_formula_sum 'Co4 Ni2 P2'
_cell_length_a 3.3756
_cell_length_b 3.3756
_cell_length_c 8.6452
_cell_angle_alpha 78.74
_cell_angle_beta 78.74
_cell_angle_gamma 90.00
_symmetry_space_group_name_H-M 'P 1'
_symmetry_Int_Tables_number 1
loop_
_symmetry_equiv_pos_as_xyz
'x,y,z'
loop_
_atom_site_label
_atom_site_type_symbol
_atom_site_fract_x
_atom_site_fract_y
_atom_site_fract_z
P1 P 0.2500 0.7500 0.5000
Co1 Co 0.8750 0.8600 0.7500
Co2 Co 0.1400 0.6250 0.2500
Co3 Co 0.3750 0.3900 0.7500
Co4 Co 0.6100 0.1250 0.2500
P2 P 0.5000 0.5000 0.0000
Ni1 Ni 0.0000 0.0000 0.0000
Ni2 Ni 0.7500 0.2500 0.5000
```

Summary:
energy of formation: 0.14 eV/atom

***

Entry 2:
A geometry-optimized CaCuMo structure, computed with PBE.

Cell and atoms, written as CIF:
```
data_CaCuMo
_chemical_formula_sum 'Ca1 Cu1 Mo1'
_cell_length_a 6.8489
_cell_length_b 6.8489
_cell_length_c 2.8873
_cell_angle_alpha 77.83
_cell_angle_beta 77.83
_cell_angle_gamma 24.34
_symmetry_space_group_name_H-M 'P 1'
_symmetry_Int_Tables_number 1
loop_
_symmetry_equiv_pos_as_xyz
'x,y,z'
loop_
_atom_site_label
_atom_site_type_symbol
_atom_site_fract_x
_atom_site_fract_y
_atom_site_fract_z
Mo1 Mo 0.6870 0.6870 0.3130
Cu1 Cu 0.3180 0.3180 0.6820
Ca1 Ca 0.9950 0.9950 0.0050
```

Summary:
energy of formation: 0.53 eV/atom

***

Entry 3:
A geometry-optimized CsCuHgI2 structure, computed with PBE.

Cell and atoms, written as CIF:
```
data_CsCuHgI2
_chemical_formula_sum 'Cs1 Cu1 Hg1 I2'
_cell_length_a 5.8201
_cell_length_b 5.8201
_cell_length_c 5.3585
_cell_angle_alpha 90.00
_cell_angle_beta 90.00
_cell_angle_gamma 90.00
_symmetry_space_group_name_H-M 'P 1'
_symmetry_Int_Tables_number 1
loop_
_symmetry_equiv_pos_as_xyz
'x,y,z'
loop_
_atom_site_label
_atom_site_type_symbol
_atom_site_fract_x
_atom_site_fract_y
_atom_site_fract_z
I1 I 0.5000 0.0000 0.0000
I2 I 0.0000 0.5000 0.0000
Hg1 Hg 0.0000 0.0000 0.5000
Cu1 Cu 0.0000 0.0000 0.0000
Cs1 Cs 0.5000 0.5000 0.5000
```

Summary:
uncorrected formation energy: -0.59 eV/atom

***

Entry 4:
A geometry-optimized AlSe4 structure, computed with PBE.

Cell and atoms, written as CIF:
```
data_AlSe4
_chemical_formula_sum 'Al1 Se4'
_cell_length_a 5.3393
_cell_length_b 5.3393
_cell_length_c 5.3393
_cell_angle_alpha 109.47
_cell_angle_beta 109.47
_cell_angle_gamma 109.47
_symmetry_space_group_name_H-M 'P 1'
_symmetry_Int_Tables_number 1
loop_
_symmetry_equiv_pos_as_xyz
'x,y,z'
loop_
_atom_site_label
_atom_site_type_symbol
_atom_site_fract_x
_atom_site_fract_y
_atom_site_fract_z
Al1 Al 0.0000 0.0000 0.0000
Se1 Se 0.0000 0.0000 0.5000
Se2 Se 0.5000 0.0000 0.0000
Se3 Se 0.0000 0.5000 0.0000
Se4 Se 0.5000 0.5000 0.5000
```

Summary:
uncorrected formation energy: 0.17 eV/atom